a:
A plane-wave DFT calculation with PBE-GGA was carried out for crystalline Tb4Pr2Sm3 at its relaxed geometry.

Output
The value obtained for the density of states at the Fermi level is 25.3 states/eV/cell. The space group is No. 15. Its density is 7570 kg/m3.

a = 10.262 Å, b = 10.262 Å, c = 6.116 Å
α = 95.61°, β = 95.61°, γ = 69.85°
Atoms (fractional coordinates):
Tb1 0.047 0.830 0.956
Tb2 0.157 0.378 0.129
Tb3 0.170 0.953 0.544
Tb4 0.378 0.157 0.629
Tb5 0.622 0.843 0.371
Tb6 0.830 0.047 0.456
Tb7 0.843 0.622 0.871
Tb8 0.953 0.170 0.044
Pr1 0.277 0.510 0.719
Pr2 0.490 0.723 0.781
Pr3 0.510 0.277 0.219
Pr4 0.723 0.490 0.281
Sm1 0.013 0.315 0.588
Sm2 0.315 0.013 0.088
Sm3 0.352 0.648 0.250
Sm4 0.648 0.352 0.750
Sm5 0.685 0.987 0.912
Sm6 0.987 0.685 0.412

b:
A plane-wave DFT calculation with PBE-GGA was carried out for crystalline Tb4Pr2Sm3 at its relaxed geometry.

Output
The value obtained for the density of states at the Fermi level is 13.7 states/eV/cell. The space group is No. 2. Its density is 7543 kg/m3.

a = 6.260 Å, b = 6.267 Å, c = 8.093 Å
α = 82.43°, β = 75.07°, γ = 80.49°
Atoms (fractional coordinates):
Tb1 0.110 0.224 0.055
Tb2 0.222 0.446 0.611
Tb3 0.778 0.554 0.389
Tb4 0.890 0.776 0.945
Pr1 0.332 0.668 0.168
Pr2 0.668 0.332 0.832
Sm1 0.000 0.000 0.500
Sm2 0.443 0.890 0.721
Sm3 0.557 0.110 0.279

Q: Which of them is the most stable? A: b.

a:
A plane-wave DFT calculation with PBE-GGA was carried out for crystalline Tb3Pr2Sm7 at its relaxed geometry.

Output
The value obtained for the density of states at the Fermi level is 18.7 states/eV/cell. The space group is No. 65. Its density is 7353 kg/m3.

a = 19.491 Å, b = 19.491 Å, c = 3.655 Å
α = 90.00°, β = 90.00°, γ = 162.87°
Atoms (fractional coordinates):
Tb1 0.000 0.000 0.000
Tb2 0.186 0.814 0.000
Tb3 0.814 0.186 0.000
Pr1 0.352 0.648 0.500
Pr2 0.648 0.352 0.500
Sm1 0.090 0.910 0.500
Sm2 0.269 0.731 0.500
Sm3 0.429 0.571 0.000
Sm4 0.500 0.500 0.500
Sm5 0.571 0.429 0.000
Sm6 0.731 0.269 0.500
Sm7 0.910 0.090 0.500

b:
A plane-wave DFT calculation with PBE-GGA was carried out for crystalline Tb3Pr2Sm7 at its relaxed geometry.

Output
The value obtained for the density of states at the Fermi level is 18.3 states/eV/cell. The space group is No. 10. Its density is 7388 kg/m3.

a = 6.448 Å, b = 3.576 Å, c = 17.753 Å
α = 90.00°, β = 96.07°, γ = 90.00°
Atoms (fractional coordinates):
Tb1 0.000 0.000 0.000
Tb2 0.048 0.500 0.659
Tb3 0.952 0.500 0.341
Pr1 0.441 0.000 0.329
Pr2 0.559 0.000 0.671
Sm1 0.224 0.500 0.164
Sm2 0.243 0.000 0.502
Sm3 0.272 0.000 0.832
Sm4 0.500 0.500 0.000
Sm5 0.728 0.000 0.168
Sm6 0.757 0.000 0.498
Sm7 0.776 0.500 0.836

Q: Which of them is the most stable? A: b.

a:
A plane-wave DFT calculation with PBE-GGA was carried out for crystalline Tb2Pr6Sm at its relaxed geometry.

Output
The value obtained for the density of states at the Fermi level is 22.4 states/eV/cell. The space group is No. 15. Its density is 6898 kg/m3.

a = 12.829 Å, b = 12.829 Å, c = 6.127 Å
α = 96.28°, β = 96.28°, γ = 138.72°
Atoms (fractional coordinates):
Tb1 0.005 0.824 0.964
Tb2 0.176 0.995 0.536
Tb3 0.824 0.005 0.464
Tb4 0.995 0.176 0.036
Pr1 0.115 0.441 0.592
Pr2 0.150 0.680 0.966
Pr3 0.276 0.331 0.716
Pr4 0.320 0.850 0.534
Pr5 0.331 0.276 0.216
Pr6 0.441 0.115 0.092
Pr7 0.559 0.885 0.908
Pr8 0.669 0.724 0.784
Pr9 0.680 0.150 0.466
Pr10 0.724 0.669 0.284
Pr11 0.850 0.320 0.034
Pr12 0.885 0.559 0.408
Sm1 0.390 0.610 0.250
Sm2 0.610 0.390 0.750

b:
A plane-wave DFT calculation with PBE-GGA was carried out for crystalline Tb2Pr6Sm at its relaxed geometry.

Output
The value obtained for the density of states at the Fermi level is 31.0 states/eV/cell. The space group is No. 136. Its density is 5906 kg/m3.

a = 8.340 Å, b = 8.340 Å, c = 10.620 Å
α = 90.00°, β = 90.00°, γ = 90.00°
Atoms (fractional coordinates):
Tb1 0.000 0.000 0.166
Tb2 0.000 0.000 0.834
Tb3 0.500 0.500 0.334
Tb4 0.500 0.500 0.666
Pr1 0.238 0.238 0.000
Pr2 0.239 0.239 0.334
Pr3 0.239 0.239 0.666
Pr4 0.261 0.739 0.166
Pr5 0.261 0.739 0.834
Pr6 0.262 0.738 0.500
Pr7 0.738 0.262 0.500
Pr8 0.739 0.261 0.166
Pr9 0.739 0.261 0.834
Pr10 0.761 0.761 0.334
Pr11 0.761 0.761 0.666
Pr12 0.762 0.762 0.000
Sm1 0.000 0.000 0.500
Sm2 0.500 0.500 0.000

Q: Which of them is the most stable? A: a.

a:
A plane-wave DFT calculation with PBE-GGA was carried out for crystalline Tb2PrSm8 at its relaxed geometry.

Output
The value obtained for the density of states at the Fermi level is 15.6 states/eV/cell. The space group is No. 71. Its density is 7344 kg/m3.

a = 9.467 Å, b = 9.467 Å, c = 9.467 Å
α = 145.27°, β = 128.15°, γ = 63.93°
Atoms (fractional coordinates):
Tb1 0.200 0.200 0.000
Tb2 0.800 0.800 0.000
Pr1 0.500 0.500 0.000
Sm1 0.066 0.362 0.705
Sm2 0.205 0.000 0.205
Sm3 0.337 0.837 0.500
Sm4 0.343 0.638 0.705
Sm5 0.657 0.362 0.295
Sm6 0.663 0.163 0.500
Sm7 0.795 0.000 0.795
Sm8 0.934 0.638 0.295

b:
A plane-wave DFT calculation with PBE-GGA was carried out for crystalline Tb2PrSm8 at its relaxed geometry.

Output
The value obtained for the density of states at the Fermi level is 17.8 states/eV/cell. The space group is No. 12. Its density is 7304 kg/m3.

a = 9.067 Å, b = 9.067 Å, c = 6.732 Å
α = 98.99°, β = 98.99°, γ = 43.83°
Atoms (fractional coordinates):
Tb1 0.204 0.204 0.302
Tb2 0.796 0.796 0.698
Pr1 0.000 0.000 0.500
Sm1 0.174 0.647 0.090
Sm2 0.244 0.244 0.811
Sm3 0.353 0.826 0.910
Sm4 0.409 0.409 0.590
Sm5 0.591 0.591 0.410
Sm6 0.647 0.174 0.090
Sm7 0.756 0.756 0.189
Sm8 0.826 0.353 0.910

Q: Which of them is the most stable? A: a.

a:
A plane-wave DFT calculation with PBE-GGA was carried out for crystalline Tb2Pr2Sm7 at its relaxed geometry.

Output
The value obtained for the density of states at the Fermi level is 15.0 states/eV/cell. The space group is No. 12. Its density is 7279 kg/m3.

a = 10.546 Å, b = 10.546 Å, c = 3.670 Å
α = 96.15°, β = 96.15°, γ = 68.60°
Atoms (fractional coordinates):
Tb1 0.249 0.751 0.000
Tb2 0.751 0.249 0.000
Pr1 0.297 0.297 0.828
Pr2 0.703 0.703 0.172
Sm1 0.080 0.589 0.316
Sm2 0.099 0.099 0.243
Sm3 0.411 0.920 0.684
Sm4 0.500 0.500 0.500
Sm5 0.589 0.080 0.316
Sm6 0.901 0.901 0.757
Sm7 0.920 0.411 0.684

b:
A plane-wave DFT calculation with PBE-GGA was carried out for crystalline Tb2Pr2Sm7 at its relaxed geometry.

Output
The value obtained for the density of states at the Fermi level is 16.3 states/eV/cell. The space group is No. 12. Its density is 7284 kg/m3.

a = 6.344 Å, b = 6.344 Å, c = 10.148 Å
α = 92.19°, β = 92.19°, γ = 112.45°
Atoms (fractional coordinates):
Tb1 0.230 0.770 0.000
Tb2 0.770 0.230 0.000
Pr1 0.212 0.212 0.792
Pr2 0.788 0.788 0.208
Sm1 0.084 0.675 0.646
Sm2 0.310 0.310 0.140
Sm3 0.325 0.916 0.354
Sm4 0.500 0.500 0.500
Sm5 0.675 0.084 0.646
Sm6 0.690 0.690 0.860
Sm7 0.916 0.325 0.354

Q: Which of them is the most stable? A: b.

a:
A plane-wave DFT calculation with PBE-GGA was carried out for crystalline Tb2Pr12Sm5 at its relaxed geometry.

Output
The value obtained for the density of states at the Fermi level is 28.2 states/eV/cell. The space group is No. 12. Its density is 6752 kg/m3.

a = 9.461 Å, b = 9.461 Å, c = 8.133 Å
α = 92.62°, β = 92.62°, γ = 69.08°
Atoms (fractional coordinates):
Tb1 0.235 0.765 0.000
Tb2 0.765 0.235 0.000
Pr1 0.053 0.053 0.712
Pr2 0.087 0.539 0.207
Pr3 0.119 0.668 0.613
Pr4 0.332 0.881 0.387
Pr5 0.367 0.367 0.895
Pr6 0.461 0.913 0.793
Pr7 0.539 0.087 0.207
Pr8 0.633 0.633 0.105
Pr9 0.668 0.119 0.613
Pr10 0.881 0.332 0.387
Pr11 0.913 0.461 0.793
Pr12 0.947 0.947 0.288
Sm1 0.156 0.156 0.090
Sm2 0.258 0.258 0.518
Sm3 0.500 0.500 0.500
Sm4 0.742 0.742 0.482
Sm5 0.844 0.844 0.910

b:
A plane-wave DFT calculation with PBE-GGA was carried out for crystalline Tb2Pr12Sm5 at its relaxed geometry.

Output
The value obtained for the density of states at the Fermi level is 30.6 states/eV/cell. The space group is No. 12. Its density is 6774 kg/m3.

a = 10.374 Å, b = 10.374 Å, c = 10.229 Å
α = 113.35°, β = 113.35°, γ = 42.79°
Atoms (fractional coordinates):
Tb1 0.202 0.798 0.000
Tb2 0.798 0.202 0.000
Pr1 0.007 0.007 0.327
Pr2 0.090 0.589 0.148
Pr3 0.092 0.576 0.497
Pr4 0.411 0.910 0.852
Pr5 0.424 0.908 0.503
Pr6 0.491 0.491 0.783
Pr7 0.509 0.509 0.217
Pr8 0.576 0.092 0.497
Pr9 0.589 0.090 0.148
Pr10 0.908 0.424 0.503
Pr11 0.910 0.411 0.852
Pr12 0.993 0.993 0.673
Sm1 0.178 0.178 0.199
Sm2 0.323 0.323 0.827
Sm3 0.500 0.500 0.500
Sm4 0.677 0.677 0.173
Sm5 0.822 0.822 0.801

Q: Which of them is the most stable? A: a.